No. 1
Te2RhSeN | PBE | relaxed

a b c (Å): 5.4735 5.4735 3.6601
angles (deg): 90.00 90.00 90.00
Space group P4/mmm (No. 123)
One atom of each set of equivalent atoms:
1 Te 0.0000 0.5000 0.0000
2 Rh 0.0000 0.0000 0.0000
3 Se 0.5000 0.5000 0.5000
4 N 0.0000 0.0000 0.5000

Summary:
energy above the lowest structure with this stoichiometry	0.0	meV per atom
final energy	-4.635	eV/atom
total magnetization	0.0	μB/f.u.
V	21.9	Å³/atom
E_form (uncorrected)	2.27	eV per formula unit



No. 2
Sc6ZnIn2 | PBE | relaxed

a b c (Å): 4.7911 6.8120 14.3628
angles (deg): 90.00 90.00 90.00
Space group Immm (No. 71)
One atom of each set of equivalent atoms:
1 Sc 0.0000 0.2332 0.0000
2 Sc 0.0000 0.2587 0.3396
3 Zn 0.0000 0.5000 0.5000
4 In 0.0000 0.5000 0.1661

Summary:
final energy	-4.978	eV/atom
total magnetization	0.0	μB/f.u.
V	26.0	Å³/atom
ΔE_f	-0.007	eV/atom



No. 3
VFe2PH | PBE | relaxed

a b c (Å): 4.3882 4.3882 3.0672
angles (deg): 90.00 90.00 90.00
Space group P4/mmm (No. 123)
One atom of each set of equivalent atoms:
1 V 0.0000 0.0000 0.0000
2 Fe 0.0000 0.5000 0.5000
3 P 0.5000 0.5000 0.5000
4 H 0.5000 0.5000 0.0000

Summary:
final energy	-6.519	eV/atom
total magnetization	1.7	μB/f.u.
V	11.8	Å³/atom



> What is the formula in the first record?

Te2RhSeN